Computed, not measured: a crystal of ZrMnNb3 relaxed with PBEsol at the SCAN level of DFT.

Geometry as CIF:
```
data_ZrMnNb3
_chemical_formula_sum 'Zr1 Mn1 Nb3'
_cell_length_a 4.824
_cell_length_b 4.824
_cell_length_c 4.824
_cell_angle_alpha 90.00
_cell_angle_beta 90.00
_cell_angle_gamma 90.00
_symmetry_space_group_name_H-M 'P m -3 m'
_symmetry_Int_Tables_number 221
_symmetry_space_group_name_Hall '-P 4 2 3'
loop_
_atom_site_label
_atom_site_type_symbol
_atom_site_fract_x
_atom_site_fract_y
_atom_site_fract_z
Zr1 Zr 0.000 0.000 0.000
Mn1 Mn 0.500 0.500 0.500
Nb1 Nb 0.000 0.000 0.500
```

Computed properties:
N(E_F) = 6.0 states/eV per cell
DFT formation energy = 1.609 eV per atom
V = 22.45 Å³/atom
crystal system = cubic
total magnetic moment = 4.35 Bohr magnetons per cell

---

Computed, not measured: a crystal of Nd4MnNi3O12 relaxed with PBEsol at the SCAN level of DFT.

Geometry as CIF:
```
data_Nd4MnNi3O12
_chemical_formula_sum 'Nd4 Mn1 Ni3 O12'
_cell_length_a 5.372
_cell_length_b 5.389
_cell_length_c 7.518
_cell_angle_alpha 90.07
_cell_angle_beta 90.03
_cell_angle_gamma 90.15
_symmetry_space_group_name_H-M 'P -1'
_symmetry_Int_Tables_number 2
loop_
_symmetry_equiv_pos_as_xyz
'x,y,z'
'-x,-y,-z'
loop_
_atom_site_label
_atom_site_type_symbol
_atom_site_fract_x
_atom_site_fract_y
_atom_site_fract_z
Nd1 Nd 0.008 0.039 0.254
Nd2 Nd 0.491 0.543 0.254
Mn1 Mn 0.000 0.500 0.000
Ni1 Ni 0.000 0.500 0.500
Ni2 Ni 0.500 0.000 0.000
Ni3 Ni 0.500 0.000 0.500
O1 O 0.073 0.510 0.752
O2 O 0.210 0.780 0.039
O3 O 0.219 0.781 0.462
O4 O 0.279 0.289 0.039
O5 O 0.281 0.281 0.462
O6 O 0.426 0.011 0.748
```

Computed properties:
N(E_F) = 1.3 states/eV per cell
V = 10.88 Å³/atom
crystal system = triclinic
total magnetic moment = 7.00 Bohr magnetons per cell
formation energy (no corrections) = -54.32 eV per formula unit

---

Computed, not measured: a crystal of Sr2NdMn2O7 relaxed with PBEsol at the SCAN level of DFT.

Geometry as CIF:
```
data_Sr2NdMn2O7
_chemical_formula_sum 'Sr4 Nd2 Mn4 O14'
_cell_length_a 3.825
_cell_length_b 3.825
_cell_length_c 19.777
_cell_angle_alpha 90.00
_cell_angle_beta 90.00
_cell_angle_gamma 90.00
_symmetry_space_group_name_H-M 'I 4 m m'
_symmetry_Int_Tables_number 107
_symmetry_space_group_name_Hall 'I 4 -2'
loop_
_atom_site_label
_atom_site_type_symbol
_atom_site_fract_x
_atom_site_fract_y
_atom_site_fract_z
Sr1 Sr 0.000 0.000 0.000
Sr2 Sr 0.000 0.000 0.178
Nd1 Nd 0.000 0.000 0.364
Mn1 Mn 0.000 0.000 0.583
Mn2 Mn 0.000 0.000 0.778
O1 O 0.000 0.000 0.481
O2 O 0.000 0.000 0.683
O3 O 0.000 0.000 0.878
O4 O 0.000 0.500 0.085
O5 O 0.000 0.500 0.285
```

Computed properties:
N(E_F) = 2.8 states/eV per cell
polymorph energy (0 for the lowest one) = 9.6 meV per atom
V = 12.06 Å³/atom
crystal system = tetragonal
total magnetic moment = 14.00 Bohr magnetons per cell
formation energy (no corrections) = -35.12 eV per formula unit

---

Computed, not measured: a crystal of Sr2NdMn2O7 relaxed with PBEsol at the SCAN level of DFT.

Geometry as CIF:
```
data_Sr2NdMn2O7
_chemical_formula_sum 'Sr4 Nd2 Mn4 O14'
_cell_length_a 3.811
_cell_length_b 3.811
_cell_length_c 19.854
_cell_angle_alpha 90.00
_cell_angle_beta 90.00
_cell_angle_gamma 90.00
_symmetry_space_group_name_H-M 'I 4/m m m'
_symmetry_Int_Tables_number 139
_symmetry_space_group_name_Hall '-I 4 2'
loop_
_atom_site_label
_atom_site_type_symbol
_atom_site_fract_x
_atom_site_fract_y
_atom_site_fract_z
Sr1 Sr 0.000 0.000 0.183
Nd1 Nd 0.000 0.000 0.000
Mn1 Mn 0.000 0.000 0.403
O1 O 0.000 0.000 0.307
O2 O 0.000 0.000 0.500
O3 O 0.000 0.500 0.090
```

Computed properties:
N(E_F) = 1.3 states/eV per cell
polymorph energy (0 for the lowest one) = 0.0 meV per atom
V = 12.02 Å³/atom
crystal system = tetragonal
total magnetic moment = 14.01 Bohr magnetons per cell
formation energy (no corrections) = -35.24 eV per formula unit

---

Computed, not measured: a crystal of Nd2Mn3Sb4S12 relaxed with PBEsol at the SCAN level of DFT.

Geometry as CIF:
```
data_Nd2Mn3Sb4S12
_chemical_formula_sum 'Nd4 Mn6 Sb8 S24'
_cell_length_a 19.579
_cell_length_b 3.825
_cell_length_c 14.617
_cell_angle_alpha 90.00
_cell_angle_beta 126.60
_cell_angle_gamma 90.00
_symmetry_space_group_name_H-M 'C 1 2/m 1'
_symmetry_Int_Tables_number 12
loop_
_symmetry_equiv_pos_as_xyz
'x,y,z'
'-x,-y,-z'
'-x,y,-z'
'x,-y,z'
'x+1/2,y+1/2,z'
'-x+1/2,-y+1/2,-z'
'-x+1/2,y+1/2,-z'
'x+1/2,-y+1/2,z'
loop_
_atom_site_label
_atom_site_type_symbol
_atom_site_fract_x
_atom_site_fract_y
_atom_site_fract_z
Nd1 Nd 0.239 0.000 0.140
Mn1 Mn 0.000 0.000 0.000
Mn2 Mn 0.199 0.000 0.376
Sb1 Sb 0.041 0.500 0.813
Sb2 Sb 0.102 0.000 0.539
S1 S 0.058 0.000 0.198
S2 S 0.088 0.500 0.649
S3 S 0.100 0.500 0.024
S4 S 0.156 0.500 0.450
S5 S 0.169 0.000 0.898
S6 S 0.243 0.500 0.297
```

Computed properties:
V = 20.93 Å³/atom
crystal system = monoclinic
total magnetic moment = 30.00 Bohr magnetons per cell
formation energy (no corrections) = -21.15 eV per formula unit

---

Computed, not measured: a crystal of Nd6MnSi2S14 relaxed with PBEsol at the SCAN level of DFT.

Geometry as CIF:
```
data_Nd6MnSi2S14
_chemical_formula_sum 'Nd6 Mn1 Si2 S14'
_cell_length_a 10.0627
_cell_length_b 10.0627
_cell_length_c 5.6367
_cell_angle_alpha 90.00
_cell_angle_beta 90.00
_cell_angle_gamma 120.00
_symmetry_space_group_name_H-M 'P 3'
_symmetry_Int_Tables_number 143
loop_
_symmetry_equiv_pos_as_xyz
'x,y,z'
'-y,x-y,z'
'-x+y,-x,z'
loop_
_atom_site_label
_atom_site_type_symbol
_atom_site_fract_x
_atom_site_fract_y
_atom_site_fract_z
Nd1 Nd 0.0240 0.5651 0.0000
Nd2 Nd 0.3092 0.1008 0.5065
Mn1 Mn 0.6667 0.3333 0.2634
Si1 Si 0.0000 0.0000 0.9234
Si2 Si 0.3333 0.6667 0.4153
S1 S 0.0000 0.0000 0.2951
S2 S 0.0780 0.8546 0.7779
S3 S 0.1884 0.4428 0.2718
S4 S 0.3333 0.6667 0.7876
S5 S 0.4206 0.1739 0.0258
S6 S 0.5052 0.4179 0.5057
```

Computed properties:
V = 21.49 Å³/atom
crystal system = trigonal
total magnetic moment = 5.00 Bohr magnetons per cell
formation energy (no corrections) = -43.82 eV per formula unit

---

Computed, not measured: a crystal of NdMn2Si2 relaxed with PBEsol at the SCAN level of DFT.

Geometry as CIF:
```
data_NdMn2Si2
_chemical_formula_sum 'Nd2 Mn4 Si4'
_cell_length_a 3.918
_cell_length_b 3.918
_cell_length_c 10.355
_cell_angle_alpha 90.00
_cell_angle_beta 90.00
_cell_angle_gamma 90.00
_symmetry_space_group_name_H-M 'I 4/m m m'
_symmetry_Int_Tables_number 139
_symmetry_space_group_name_Hall '-I 4 2'
loop_
_atom_site_label
_atom_site_type_symbol
_atom_site_fract_x
_atom_site_fract_y
_atom_site_fract_z
Nd1 Nd 0.000 0.000 0.000
Mn1 Mn 0.000 0.500 0.250
Si1 Si 0.000 0.000 0.375
```

Computed properties:
N(E_F) = 5.8 states/eV per cell
V = 15.90 Å³/atom
crystal system = tetragonal
total magnetic moment = 8.34 Bohr magnetons per cell
formation energy (no corrections) = -3.25 eV per formula unit

---

Computed, not measured: a crystal of NdMnSi2 relaxed with PBEsol at the SCAN level of DFT.

Geometry as CIF:
```
data_NdMnSi2
_chemical_formula_sum 'Nd4 Mn4 Si8'
_cell_length_a 4.013
_cell_length_b 17.389
_cell_length_c 3.952
_cell_angle_alpha 90.00
_cell_angle_beta 90.00
_cell_angle_gamma 90.00
_symmetry_space_group_name_H-M 'C m c m'
_symmetry_Int_Tables_number 63
_symmetry_space_group_name_Hall '-C 2c 2'
loop_
_atom_site_label
_atom_site_type_symbol
_atom_site_fract_x
_atom_site_fract_y
_atom_site_fract_z
Nd1 Nd 0.000 0.102 0.250
Mn1 Mn 0.000 0.250 0.750
Si1 Si 0.000 0.322 0.250
Si2 Si 0.000 0.463 0.250
```

Computed properties:
N(E_F) = 3.8 states/eV per cell
V = 17.24 Å³/atom
crystal system = orthorhombic
total magnetic moment = 8.24 Bohr magnetons per cell
formation energy (no corrections) = -2.70 eV per formula unit

---

Computed, not measured: a crystal of Mn5Ni relaxed with PBEsol at the SCAN level of DFT.

Geometry as CIF:
```
data_Mn5Ni
_chemical_formula_sum 'Mn10 Ni2'
_cell_length_a 3.921
_cell_length_b 2.439
_cell_length_c 12.867
_cell_angle_alpha 90.00
_cell_angle_beta 90.00
_cell_angle_gamma 90.00
_symmetry_space_group_name_H-M 'A m m 2'
_symmetry_Int_Tables_number 38
loop_
_symmetry_equiv_pos_as_xyz
'x,y,z'
'-x,-y,z'
'-x,y,z'
'x,-y,z'
'x,y+1/2,z+1/2'
'-x,-y+1/2,z+1/2'
'-x,y+1/2,z+1/2'
'x,-y+1/2,z+1/2'
loop_
_atom_site_label
_atom_site_type_symbol
_atom_site_fract_x
_atom_site_fract_y
_atom_site_fract_z
Mn1 Mn 0.000 0.000 0.000
Mn2 Mn 0.000 0.000 0.331
Mn3 Mn 0.000 0.000 0.664
Mn4 Mn 0.500 0.000 0.223
Mn5 Mn 0.500 0.000 0.557
Ni1 Ni 0.500 0.000 0.888
```

Computed properties:
N(E_F) = 10.8 states/eV per cell
polymorph energy (0 for the lowest one) = 266.4 meV per atom
DFT formation energy = 0.104 eV per atom
V = 10.25 Å³/atom
crystal system = orthorhombic
total magnetic moment = 1.61 Bohr magnetons per cell

---

Computed, not measured: a crystal of Mn5Ni relaxed with PBEsol at the SCAN level of DFT.

Geometry as CIF:
```
data_Mn5Ni
_chemical_formula_sum 'Mn10 Ni2'
_cell_length_a 3.503
_cell_length_b 10.584
_cell_length_c 3.449
_cell_angle_alpha 90.00
_cell_angle_beta 90.00
_cell_angle_gamma 90.00
_symmetry_space_group_name_H-M 'C m m m'
_symmetry_Int_Tables_number 65
_symmetry_space_group_name_Hall '-C 2 2'
loop_
_atom_site_label
_atom_site_type_symbol
_atom_site_fract_x
_atom_site_fract_y
_atom_site_fract_z
Mn1 Mn 0.000 0.000 0.000
Mn2 Mn 0.000 0.163 0.500
Mn3 Mn 0.000 0.335 0.000
Ni1 Ni 0.000 0.500 0.500
```

Computed properties:
N(E_F) = 7.3 states/eV per cell
polymorph energy (0 for the lowest one) = 0.0 meV per atom
DFT formation energy = -0.162 eV per atom
V = 10.66 Å³/atom
crystal system = orthorhombic
total magnetic moment = 1.65 Bohr magnetons per cell

---

Computed, not measured: a crystal of Mn5Ni3 relaxed with PBEsol at the SCAN level of DFT.

Geometry as CIF:
```
data_Mn5Ni3
_chemical_formula_sum 'Mn10 Ni6'
_cell_length_a 6.916
_cell_length_b 7.024
_cell_length_c 3.462
_cell_angle_alpha 90.00
_cell_angle_beta 90.00
_cell_angle_gamma 90.00
_symmetry_space_group_name_H-M 'C m m m'
_symmetry_Int_Tables_number 65
_symmetry_space_group_name_Hall '-C 2 2'
loop_
_atom_site_label
_atom_site_type_symbol
_atom_site_fract_x
_atom_site_fract_y
_atom_site_fract_z
Mn1 Mn 0.000 0.000 0.000
Mn2 Mn 0.000 0.247 0.500
Mn3 Mn 0.250 0.250 0.000
Ni1 Ni 0.000 0.500 0.000
Ni2 Ni 0.247 0.500 0.500
```

Computed properties:
N(E_F) = 12.7 states/eV per cell
DFT formation energy = -0.100 eV per atom
V = 10.51 Å³/atom
crystal system = orthorhombic
total magnetic moment = 21.46 Bohr magnetons per cell

---

Computed, not measured: a crystal of MnNi3 relaxed with PBEsol at the SCAN level of DFT.

Geometry as CIF:
```
data_MnNi3
_chemical_formula_sum 'Mn2 Ni6'
_cell_length_a 8.218
_cell_length_b 2.530
_cell_length_c 4.255
_cell_angle_alpha 90.00
_cell_angle_beta 101.03
_cell_angle_gamma 90.00
_symmetry_space_group_name_H-M 'C 1 2/m 1'
_symmetry_Int_Tables_number 12
loop_
_symmetry_equiv_pos_as_xyz
'x,y,z'
'-x,-y,-z'
'-x,y,-z'
'x,-y,z'
'x+1/2,y+1/2,z'
'-x+1/2,-y+1/2,-z'
'-x+1/2,y+1/2,-z'
'x+1/2,-y+1/2,z'
loop_
_atom_site_label
_atom_site_type_symbol
_atom_site_fract_x
_atom_site_fract_y
_atom_site_fract_z
Mn1 Mn 0.000 0.000 0.000
Ni1 Ni 0.000 0.500 0.500
Ni2 Ni 0.249 0.000 0.745
```

Computed properties:
N(E_F) = 6.3 states/eV per cell
DFT formation energy = -0.141 eV per atom
V = 10.85 Å³/atom
crystal system = monoclinic
total magnetic moment = 11.34 Bohr magnetons per cell